First-principles (PBE) data for a relaxed structure of TlCoSi2, as listed in the Alexandria database.

Geometry as extended XYZ:
```
4
Lattice="-4.3331 -0.6590 1.2678 -2.5185 3.5239 1.4341 -3.4024 1.5792 -2.5976" Properties=species:S:1:pos:R:3 pbc="T T T"
Tl -5.1270 2.2221 0.0522
Co 0.0000 0.0000 0.0000
Si -2.5635 1.1110 0.0261
Si -7.6905 3.3331 0.0783
```

Calculated values
The density of states at the Fermi level is 1.7 states/eV/cell. The value obtained for the final energy is -0.1581 Ha/atom. The calculation puts the formation energy from raw total energies at 778 meV per atom. As for the space group: Fm-3m (225). As for the calculated volume: 16.79 A^3/atom.

=====

First-principles (PBE) data for a relaxed structure of TlCoSi2, as listed in the Alexandria database.

Geometry as extended XYZ:
```
4
Lattice="-4.5445 -1.0380 1.3112 -0.3017 -4.8330 -0.0182 3.2462 2.8735 2.1573" Properties=species:S:1:pos:R:3 pbc="T T T"
Co -1.8607 -0.5500 2.0575
Si 0.0000 0.0000 0.0000
Si 0.2607 -2.4475 1.3928
Tl -2.4231 -2.9355 0.6465
```

Calculated values
The density of states at the Fermi level is 3.7 states/eV/cell. The value obtained for the final energy is -0.1602 Ha/atom. The calculation puts the formation energy from raw total energies at 719 meV per atom. As for the space group: I-4m2 (119). As for the calculated volume: 16.49 A^3/atom.

=====

First-principles (PBE) data for a relaxed structure of TlCoSi2, as listed in the Alexandria database.

Geometry as extended XYZ:
```
4
Lattice="-1.5925 -3.5158 -0.1607 4.2653 -1.9217 -0.2252 1.6934 -0.9575 4.1694" Properties=species:S:1:pos:R:3 pbc="T T T"
Co 3.6728 -3.9173 2.8778
Si 5.5467 -2.6599 3.2300
Si 3.3914 -1.6589 2.6863
Tl 0.6934 -2.4777 0.9057
```

Calculated values
The density of states at the Fermi level is 2.6 states/eV/cell. The value obtained for the final energy is -0.1772 Ha/atom. The calculation puts the formation energy from raw total energies at 259 meV per atom. As for the space group: P2/m (10). As for the calculated volume: 19.28 A^3/atom.

=====

First-principles (PBE) data for a relaxed structure of TlCoSi2, as listed in the Alexandria database.

Geometry as extended XYZ:
```
4
Lattice="-2.8831 -2.4062 -3.2147 2.6771 0.0864 -4.1548 0.3405 -1.7738 4.6015" Properties=species:S:1:pos:R:3 pbc="T T T"
Co 1.4669 -1.3153 -1.2751
Si -0.0039 -0.0444 -0.1409
Si -1.3306 -2.7581 -1.4291
Tl -0.1009 -1.1356 -3.6076
```

Calculated values
The density of states at the Fermi level is 2.0 states/eV/cell. The value obtained for the final energy is -0.1667 Ha/atom. The calculation puts the formation energy from raw total energies at 544 meV per atom. As for the space group: Imm2 (44). As for the calculated volume: 17.13 A^3/atom.

=====

First-principles (PBE) data for a relaxed structure of TlCoSi2, as listed in the Alexandria database.

Geometry as extended XYZ:
```
4
Lattice="-0.1903 2.6267 2.5671 -2.1629 -2.1578 2.0475 3.9756 -1.8800 2.2184" Properties=species:S:1:pos:R:3 pbc="T T T"
Co 0.9064 -2.0189 2.1330
Si 0.0000 0.0000 0.0000
Si -1.1766 0.2344 2.3073
Tl 1.8926 0.3734 2.3927
```

Calculated values
The density of states at the Fermi level is 3.5 states/eV/cell. The value obtained for the final energy is -0.1626 Ha/atom. The calculation puts the formation energy from raw total energies at 656 meV per atom. As for the space group: P4/mmm (123). As for the calculated volume: 16.66 A^3/atom.

=====

First-principles (PBE) data for a relaxed structure of TlCoSi2, as listed in the Alexandria database.

Geometry as extended XYZ:
```
8
Lattice="-0.6100 -2.1236 -5.0420 2.4268 -4.6519 1.6656 -4.8027 -5.7617 0.0026" Properties=species:S:1:pos:R:3 pbc="T T T"
Tl 0.0000 0.0000 0.0000
Tl -2.2521 -5.6365 -3.3638
Co 0.9084 -3.3877 -1.6882
Co -0.7337 -6.9006 -0.0100
Si -1.1271 -2.8219 -1.6905
Si 0.0884 -5.1405 -0.8405
Si -2.3181 -8.0171 -0.8506
Si -2.6149 -9.0947 -3.3660
```

Calculated values
The density of states at the Fermi level is 1.6 states/eV/cell. The value obtained for the final energy is -0.1762 Ha/atom. The calculation puts the formation energy from raw total energies at 284 meV per atom. As for the space group: I-42d (122). As for the calculated volume: 24.29 A^3/atom.

=====

Q: What is the formation energy from raw total energies in the fifth record?
A: 656 meV per atom

=====

What did the sixth record say?
First-principles (PBE) data for a relaxed structure of TlCoSi2, as listed in the Alexandria database.

Geometry as extended XYZ:
```
8
Lattice="-0.6100 -2.1236 -5.0420 2.4268 -4.6519 1.6656 -4.8027 -5.7617 0.0026" Properties=species:S:1:pos:R:3 pbc="T T T"
Tl 0.0000 0.0000 0.0000
Tl -2.2521 -5.6365 -3.3638
Co 0.9084 -3.3877 -1.6882
Co -0.7337 -6.9006 -0.0100
Si -1.1271 -2.8219 -1.6905
Si 0.0884 -5.1405 -0.8405
Si -2.3181 -8.0171 -0.8506
Si -2.6149 -9.0947 -3.3660
```

Calculated values
The density of states at the Fermi level is 1.6 states/eV/cell. The value obtained for the final energy is -0.1762 Ha/atom. The calculation puts the formation energy from raw total energies at 284 meV per atom. As for the space group: I-42d (122). As for the calculated volume: 24.29 A^3/atom.

=====

Q: What is the formula in the first record?
A: TlCoSi2

=====

Q: What is the formula in the fifth record?
A: TlCoSi2